! PBE MgZrSn2Pd, optimized geometry; values from VASP
&SYSTEM
  ibrav = 0, nat = 5, ntyp = 4
/
ATOMIC_SPECIES
Mg 24.30 Mg.upf
Zr 91.22 Zr.upf
Sn 118.71 Sn.upf
Pd 106.42 Pd.upf
ATOMIC_POSITIONS crystal
Mg 0.000 0.000 0.000
Zr 0.500 0.500 0.500
Sn 0.000 0.500 0.500
Sn 0.500 0.000 0.500
Pd 0.500 0.500 0.000
CELL_PARAMETERS angstrom
5.555 0.000 0.000
0.000 5.555 0.000
0.000 0.000 4.954
! Volume in Å³/atom: 30.57
! Total magnetization in μB/atom: 0.000
! DFT formation energy in eV per formula unit: 2.36



! PBE KOs2Br, optimized geometry; values from VASP
&SYSTEM
  ibrav = 0, nat = 4, ntyp = 3
/
ATOMIC_SPECIES
K 39.10 K.upf
Os 190.23 Os.upf
Br 79.90 Br.upf
ATOMIC_POSITIONS crystal
K 0.000 0.000 0.000
Os 0.000 0.500 0.500
Os 0.500 0.000 0.500
Br 0.500 0.500 0.000
CELL_PARAMETERS angstrom
2.736 -7.235 0.000
2.736 7.235 0.000
-1.334 0.000 2.354
! Volume in Å³/atom: 23.30
! Total magnetization in μB/atom: 0.310
! Uncorrected formation energy in eV per atom: 1.101



Look up the volume of the first one. 30.57 Å³/atom



volume of number 1 (MgZrSn2Pd)? 30.57 Å³/atom